Entry w
# NiPtI2N

NiPtI2N after structural relaxation (PBE-GGA, the Alexandria database).

Output
For the size of the total moment, the calculation gives 1.1 μB/cell. As for the theoretical density: 7.2 g/cm3.

Unit cell a=5.6777 b=5.6777 c=3.7089 alpha=90.00 beta=90.00 gamma=90.00
Last column: nearest neighbours and their distance in Å.
Space group P4/mmm (No. 123)
Inequivalent atoms, fractional coordinates:
Ni 0.0000 0.0000 0.0000  8 I 3.39, 2 Ni 3.71
Pt 0.5000 0.5000 0.5000  2 N 1.85
I 0.0000 0.5000 0.5000  2 Pt 2.84
N 0.5000 0.5000 0.0000  2 Pt 1.85

=====

Entry x
# NiPtI2N

NiPtI2N after structural relaxation (PBE-GGA, the Alexandria database).

Output
For the size of the total moment, the calculation gives 0.0 μB/cell. As for the theoretical density: 8.6 g/cm3.

Unit cell a=5.4381 b=5.4381 c=3.4142 alpha=90.00 beta=90.00 gamma=90.00
Last column: nearest neighbours and their distance in Å.
Space group P4/mmm (No. 123)
Inequivalent atoms, fractional coordinates:
Ni 0.0000 0.0000 0.0000  2 N 1.71
Pt 0.5000 0.5000 0.5000  8 I 3.21, 2 Pt 3.41
I 0.0000 0.5000 0.0000  2 Ni 2.72
N 0.0000 0.0000 0.5000  2 Ni 1.71

=====

Most stable to least stable, the ends of the list are entry x and entry w.

=====

Entry w
# NiRhI2N

NiRhI2N after structural relaxation (PBE-GGA, the Alexandria database).

Output
For the size of the total moment, the calculation gives 1.1 μB/cell. As for the theoretical density: 6.3 g/cm3.

Unit cell a=5.5710 b=5.5710 c=3.6752 alpha=90.00 beta=90.00 gamma=90.00
Last column: nearest neighbours and their distance in Å.
Space group P4/mmm (No. 123)
Inequivalent atoms, fractional coordinates:
Ni 0.0000 0.0000 0.0000  8 I 3.34, 2 Ni 3.68
Rh 0.5000 0.5000 0.5000  2 N 1.84
I 0.0000 0.5000 0.5000  2 Rh 2.79
N 0.5000 0.5000 0.0000  2 Rh 1.84

=====

Entry x
# NiRhI2N

NiRhI2N after structural relaxation (PBE-GGA, the Alexandria database).

Output
For the size of the total moment, the calculation gives 0.1 μB/cell. As for the theoretical density: 7.2 g/cm3.

Unit cell a=5.3592 b=5.3592 c=3.4259 alpha=90.00 beta=90.00 gamma=90.00
Last column: nearest neighbours and their distance in Å.
Space group P4/mmm (No. 123)
Inequivalent atoms, fractional coordinates:
Ni 0.0000 0.0000 0.0000  2 N 1.71
Rh 0.5000 0.5000 0.5000  8 I 3.18, 2 Rh 3.43
I 0.0000 0.5000 0.0000  2 Ni 2.68
N 0.0000 0.0000 0.5000  2 Ni 1.71

=====

Most stable to least stable, the ends of the list are entry w and entry x.

=====

Entry w
# NiRuIN2

NiRuIN2 after structural relaxation (PBE-GGA, the Alexandria database).

Output
For the size of the total moment, the calculation gives 1.1 μB/cell. As for the theoretical density: 5.9 g/cm3.

Unit cell a=3.6396 b=3.6396 c=6.7086 alpha=90.00 beta=90.00 gamma=90.00
Last column: nearest neighbours and their distance in Å.
Space group P4/mmm (No. 123)
Inequivalent atoms, fractional coordinates:
Ni 0.0000 0.0000 0.0000  4 N 1.82
Ru 0.5000 0.5000 0.5000  4 I 2.57
I 0.0000 0.0000 0.5000  4 Ru 2.57
N 0.0000 0.5000 0.0000  2 Ni 1.82

=====

Entry x
# NiRuIN2

NiRuIN2 after structural relaxation (PBE-GGA, the Alexandria database).

Output
For the size of the total moment, the calculation gives 0.0 μB/cell. As for the theoretical density: 6.1 g/cm3.

Unit cell a=3.7563 b=3.7563 c=6.0217 alpha=90.00 beta=90.00 gamma=90.00
Last column: nearest neighbours and their distance in Å.
Space group P4/mmm (No. 123)
Inequivalent atoms, fractional coordinates:
Ni 0.0000 0.0000 0.0000  4 I 2.66
Ru 0.5000 0.5000 0.5000  4 N 1.88
I 0.5000 0.5000 0.0000  4 Ni 2.66
N 0.0000 0.5000 0.5000  2 Ru 1.88

=====

Most stable to least stable, the ends of the list are entry x and entry w.

=====

Entry w
# NiSIN2

NiSIN2 after structural relaxation (PBE-GGA, the Alexandria database).

Output
For the size of the total moment, the calculation gives 0.5 μB/cell. As for the theoretical density: 3.8 g/cm3.

Unit cell a=3.6704 b=3.6704 c=7.9843 alpha=90.00 beta=90.00 gamma=90.00
Last column: nearest neighbours and their distance in Å.
Space group P4/mmm (No. 123)
Inequivalent atoms, fractional coordinates:
Ni 0.0000 0.0000 0.0000  4 N 1.84
S 0.5000 0.5000 0.5000  4 I 2.60
I 0.0000 0.0000 0.5000  4 S 2.60
N 0.0000 0.5000 0.0000  2 Ni 1.84

=====

Entry x
# NiSIN2

NiSIN2 after structural relaxation (PBE-GGA, the Alexandria database).

Output
For the size of the total moment, the calculation gives 3.9 μB/cell. As for the theoretical density: 5.1 g/cm3.

Unit cell a=3.8258 b=3.8258 c=5.4299 alpha=90.00 beta=90.00 gamma=90.00
Last column: nearest neighbours and their distance in Å.
Space group P4/mmm (No. 123)
Inequivalent atoms, fractional coordinates:
Ni 0.0000 0.0000 0.0000  4 N 1.91
S 0.0000 0.0000 0.5000  4 I 2.71, 2 Ni 2.71
I 0.5000 0.5000 0.5000  4 S 2.71
N 0.0000 0.5000 0.0000  2 Ni 1.91

=====

Most stable to least stable, the ends of the list are entry x and entry w.

=====

Entry w
# NiSbI2N

NiSbI2N after structural relaxation (PBE-GGA, the Alexandria database).

Output
For the size of the total moment, the calculation gives 0.5 μB/cell. As for the theoretical density: 6.4 g/cm3.

Unit cell a=5.7173 b=5.7173 c=3.5325 alpha=90.00 beta=90.00 gamma=90.00
Last column: nearest neighbours and their distance in Å.
Space group P4/mmm (No. 123)
Inequivalent atoms, fractional coordinates:
Ni 0.0000 0.0000 0.0000  2 N 1.77
Sb 0.5000 0.5000 0.5000  8 I 3.36, 2 Sb 3.53
I 0.0000 0.5000 0.0000  2 Ni 2.86
N 0.0000 0.0000 0.5000  2 Ni 1.77

=====

Entry x
# NiSbI2N

NiSbI2N after structural relaxation (PBE-GGA, the Alexandria database).

Output
For the size of the total moment, the calculation gives 2.9 μB/cell. As for the theoretical density: 5.1 g/cm3.

Unit cell a=5.5128 b=5.5128 c=4.7871 alpha=90.00 beta=90.00 gamma=90.00
Last column: nearest neighbours and their distance in Å.
Space group P4/mmm (No. 123)
Inequivalent atoms, fractional coordinates:
Ni 0.0000 0.0000 0.0000  2 Sb 2.39
Sb 0.0000 0.0000 0.5000  2 Ni 2.39
I 0.0000 0.5000 0.0000  2 Ni 2.76
N 0.5000 0.5000 0.5000  8 I 3.65, 4 Sb 3.90

=====

Entry y
# NiSbI2N

NiSbI2N after structural relaxation (PBE-GGA, the Alexandria database).

Output
For the size of the total moment, the calculation gives 0.9 μB/cell. As for the theoretical density: 6.6 g/cm3.

Unit cell a=4.8102 b=4.8102 c=4.8853 alpha=90.00 beta=90.00 gamma=90.00
Last column: nearest neighbours and their distance in Å.
Space group P4/mmm (No. 123)
Inequivalent atoms, fractional coordinates:
Ni 0.0000 0.0000 0.0000  4 Sb 3.40, 8 I 3.43
Sb 0.5000 0.5000 0.0000  2 N 2.44
I 0.0000 0.5000 0.5000  2 N 2.41
N 0.5000 0.5000 0.5000  4 I 2.41, 2 Sb 2.44

=====

Entry z
# NiSbI2N

NiSbI2N after structural relaxation (PBE-GGA, the Alexandria database).

Output
For the size of the total moment, the calculation gives 1.0 μB/cell. As for the theoretical density: 5.1 g/cm3.

Unit cell a=6.0857 b=6.0857 c=3.9399 alpha=90.00 beta=90.00 gamma=90.00
Last column: nearest neighbours and their distance in Å.
Space group P4/mmm (No. 123)
Inequivalent atoms, fractional coordinates:
Ni 0.0000 0.0000 0.0000  8 I 3.62, 2 Ni 3.94
Sb 0.5000 0.5000 0.5000  2 N 1.97
I 0.0000 0.5000 0.5000  2 Sb 3.04
N 0.5000 0.5000 0.0000  2 Sb 1.97

=====

Most stable to least stable, the ends of the list are entry w and entry y.

=====

Entry w
# NiSnIN2

NiSnIN2 after structural relaxation (PBE-GGA, the Alexandria database).

Output
For the size of the total moment, the calculation gives 2.6 μB/cell. As for the theoretical density: 5.0 g/cm3.

Unit cell a=4.0142 b=4.0142 c=6.8550 alpha=90.00 beta=90.00 gamma=90.00
Last column: nearest neighbours and their distance in Å.
Space group P4/mmm (No. 123)
Inequivalent atoms, fractional coordinates:
Ni 0.0000 0.0000 0.0000  4 I 2.84
Sn 0.5000 0.5000 0.5000  4 N 2.01
I 0.5000 0.5000 0.0000  4 Ni 2.84
N 0.0000 0.5000 0.5000  2 Sn 2.01

=====

Entry x
# NiSnIN2

NiSnIN2 after structural relaxation (PBE-GGA, the Alexandria database).

Output
For the size of the total moment, the calculation gives 3.4 μB/cell. As for the theoretical density: 6.1 g/cm3.

Unit cell a=4.1468 b=4.1468 c=5.2619 alpha=90.00 beta=90.00 gamma=90.00
Last column: nearest neighbours and their distance in Å.
Space group P4/mmm (No. 123)
Inequivalent atoms, fractional coordinates:
Ni 0.0000 0.0000 0.0000  4 N 2.07
Sn 0.5000 0.5000 0.5000  4 I 2.93
I 0.0000 0.0000 0.5000  2 Ni 2.63, 4 Sn 2.93
N 0.0000 0.5000 0.0000  2 Ni 2.07

=====

Most stable to least stable, the ends of the list are entry x and entry w.